(1)
# Li2CdAg5 GGA-PBE relaxed
# VASP energy   -2.5268 eV/atom
data_Li2CdAg5
_space_group_name_H-M_alt 'P b a m'
_space_group_IT_number 55
_space_group_name_Hall '-P 2 2ab'
_cell_length_a 5.889
_cell_length_b 11.818
_cell_length_c 4.026
_cell_angle_alpha 90.00
_cell_angle_beta 90.00
_cell_angle_gamma 90.00
loop_
_atom_site_label
_atom_site_type_symbol
_atom_site_fract_x
_atom_site_fract_y
_atom_site_fract_z
Li1 Li 0.239 0.129 0.000
Cd1 Cd 0.000 0.500 0.500
Ag1 Ag 0.000 0.000 0.500
Ag2 Ag 0.003 0.750 0.500
Ag3 Ag 0.249 0.375 0.000

***

(2)
# Li2Cd4Ag3 GGA-PBE relaxed
# VASP energy   -1.9572 eV/atom
# Energy above the most stable polymorph in this dataset   0.000 eV/atom
data_Li2Cd4Ag3
_space_group_name_H-M_alt 'P -1'
_space_group_IT_number 2
_space_group_name_Hall '-P 1'
_cell_length_a 4.386
_cell_length_b 4.952
_cell_length_c 8.837
_cell_angle_alpha 78.65
_cell_angle_beta 89.11
_cell_angle_gamma 64.21
loop_
_atom_site_label
_atom_site_type_symbol
_atom_site_fract_x
_atom_site_fract_y
_atom_site_fract_z
Li1 Li 0.171 0.158 0.228
Cd1 Cd 0.163 0.172 0.890
Cd2 Cd 0.493 0.514 0.667
Ag1 Ag 0.165 0.168 0.557
Ag2 Ag 0.500 0.500 0.000

***

(3)
# Li3CdAg4 GGA-PBE relaxed
# VASP energy   -2.3732 eV/atom
# Energy above the most stable polymorph in this dataset   0.078 eV/atom
data_Li3CdAg4
_space_group_name_H-M_alt 'I m m 2'
_space_group_IT_number 44
_space_group_name_Hall 'I 2 -2'
_cell_length_a 5.528
_cell_length_b 9.456
_cell_length_c 5.359
_cell_angle_alpha 90.00
_cell_angle_beta 90.00
_cell_angle_gamma 90.00
loop_
_atom_site_label
_atom_site_type_symbol
_atom_site_fract_x
_atom_site_fract_y
_atom_site_fract_z
Li1 Li 0.000 0.000 0.000
Li2 Li 0.000 0.243 0.736
Cd1 Cd 0.000 0.500 0.492
Ag1 Ag 0.000 0.244 0.235
Ag2 Ag 0.249 0.000 0.487

***

(4)
# Li10CdAg6 GGA-PBE relaxed
# VASP energy   -2.3478 eV/atom
data_Li10CdAg6
_space_group_name_H-M_alt 'P -3 1 m'
_space_group_IT_number 162
_space_group_name_Hall '-P 3 2'
_cell_length_a 7.7529
_cell_length_b 7.7529
_cell_length_c 5.6774
_cell_angle_alpha 90.00
_cell_angle_beta 90.00
_cell_angle_gamma 120.00
loop_
_atom_site_label
_atom_site_type_symbol
_atom_site_fract_x
_atom_site_fract_y
_atom_site_fract_z
Li1 Li 0.0000 0.2992 0.3298
Li2 Li 0.3333 0.6667 0.0000
Li3 Li 0.3333 0.6667 0.5000
Cd1 Cd 0.0000 0.0000 0.0000
Ag1 Ag 0.0000 0.3593 0.8249

***

no.,formation energy (meV/atom),Fermi-level density of states (states/eV per cell),M_tot (Bohr magnetons per cell)
1,-152,4.1,0.0
2,-175,2.4,0.0
3,-115,4.1,0.0
4,-162,4.7,0.0